Computed, not measured: a relaxed HoLuAl2 crystal at the PBE level of DFT.

Cell and atoms, written as extended XYZ:
```
4
Lattice="3.549 0.000 0.000 0.000 3.549 0.000 0.000 0.000 7.108" Properties=species:S:1:pos:R:3 pbc="T T T"
Ho 1.775 1.775 3.554
Al 0.000 0.000 1.731
Lu 1.775 1.775 0.000
Al 0.000 0.000 5.377
```

Summary:
space-group type	P4/mmm (123)

---

Computed, not measured: a relaxed HoLu2Al crystal at the PBE level of DFT.

Cell and atoms, written as extended XYZ:
```
4
Lattice="5.264 0.000 0.000 2.632 4.558 0.000 2.632 1.519 4.298" Properties=species:S:1:pos:R:3 pbc="T T T"
Ho 0.000 0.000 0.000
Al 5.264 3.039 2.149
Lu 2.632 1.519 1.074
Lu 7.895 4.558 3.223
```

Summary:
space-group type	Fm-3m (225)
excess energy over the best structure of this formula in the dataset	171	meV/atom

---

Computed, not measured: a relaxed HoLuAl crystal at the PBE level of DFT.

Cell and atoms, written as extended XYZ:
```
3
Lattice="3.401 0.000 0.000 0.000 3.401 0.000 -1.700 -1.700 6.596" Properties=species:S:1:pos:R:3 pbc="T T T"
Ho 1.700 1.700 6.146
Lu 0.000 0.000 3.508
Al 1.700 1.700 1.559
```

Summary:
space-group type	I4mm (107)
excess energy over the best structure of this formula in the dataset	0	meV/atom

---

Computed, not measured: a relaxed HoLuAlPd crystal at the PBE level of DFT.

Cell and atoms, written as extended XYZ:
```
4
Lattice="4.992 0.000 0.000 2.496 4.323 0.000 2.496 1.441 4.076" Properties=species:S:1:pos:R:3 pbc="T T T"
Al 4.992 2.882 2.038
Lu 7.488 4.323 3.057
Ho 2.496 1.441 1.019
Pd 0.000 0.000 0.000
```

Summary:
space-group type	F-43m (216)

---

Computed, not measured: a relaxed PmHoLuAl crystal at the PBE level of DFT.

Cell and atoms, written as extended XYZ:
```
4
Lattice="5.346 0.000 0.000 2.673 4.630 0.000 2.673 1.543 4.365" Properties=species:S:1:pos:R:3 pbc="T T T"
Pm 5.346 3.087 2.183
Lu 8.019 4.630 3.274
Al 2.673 1.543 1.091
Ho 0.000 0.000 0.000
```

Summary:
space-group type	F-43m (216)

---

Computed, not measured: a relaxed HoLuAlPt crystal at the PBE level of DFT.

Cell and atoms, written as extended XYZ:
```
4
Lattice="4.963 0.000 0.000 2.481 4.298 0.000 2.481 1.433 4.052" Properties=species:S:1:pos:R:3 pbc="T T T"
Pt 7.444 4.298 3.039
Al 2.481 1.433 1.013
Ho 4.963 2.865 2.026
Lu 0.000 0.000 0.000
```

Summary:
space-group type	F-43m (216)

---

Computed, not measured: a relaxed HoLuAlRu crystal at the PBE level of DFT.

Cell and atoms, written as extended XYZ:
```
4
Lattice="4.890 0.000 0.000 2.445 4.235 0.000 2.445 1.412 3.993" Properties=species:S:1:pos:R:3 pbc="T T T"
Al 7.335 4.235 2.994
Lu 0.000 0.000 0.000
Ho 4.890 2.823 1.996
Ru 2.445 1.412 0.998
```

Summary:
space-group type	F-43m (216)

---

Computed, not measured: a relaxed HoLuScAl crystal at the PBE level of DFT.

Cell and atoms, written as extended XYZ:
```
4
Lattice="5.181 0.000 0.000 2.590 4.487 0.000 2.590 1.496 4.230" Properties=species:S:1:pos:R:3 pbc="T T T"
Lu 2.590 1.496 1.057
Sc 0.000 0.000 0.000
Al 5.181 2.991 2.115
Ho 7.771 4.487 3.172
```

Summary:
space-group type	F-43m (216)

---

Number 1: formation energy from the elements -0.385 eV/atom. Number 2: formation energy from the elements -0.029 eV/atom. Number 3: formation energy from the elements -0.261 eV/atom. Number 4: formation energy from the elements -0.605 eV/atom. Number 5: formation energy from the elements -0.078 eV/atom. Number 6: formation energy from the elements -0.773 eV/atom. Number 7: formation energy from the elements -0.400 eV/atom. Number 8: formation energy from the elements -0.104 eV/atom.